# 1
# TaBeSi | the Alexandria database | PBEsol | relaxed
data_TaBeSi
_cell_length_a 2.805
_cell_length_b 2.805
_cell_length_c 6.179
_cell_angle_alpha 90.00
_cell_angle_beta 90.00
_cell_angle_gamma 120.00
_symmetry_space_group_name_H-M 'P 1'
_symmetry_Int_Tables_number 1
loop_
_symmetry_equiv_pos_as_xyz
'x,y,z'
loop_
_atom_site_label
_atom_site_type_symbol
_atom_site_fract_x
_atom_site_fract_y
_atom_site_fract_z
Ta1 Ta 0.000 0.000 0.000
Be1 Be 0.333 0.667 0.655
Si1 Si 0.667 0.333 0.356
# Total DFT energy (no corrections) = -7.2307 eV per atom
# D(E_F) = 1.625 states/eV/f.u.
# Total moment = 0.000 μB per atom

=====

# 2
# Y2CrSe | the Alexandria database | PBEsol | relaxed
data_Y2CrSe
_cell_length_a 4.137
_cell_length_b 4.137
_cell_length_c 18.974
_cell_angle_alpha 90.00
_cell_angle_beta 90.00
_cell_angle_gamma 120.00
_symmetry_space_group_name_H-M 'P 1'
_symmetry_Int_Tables_number 1
loop_
_symmetry_equiv_pos_as_xyz
'x,y,z'
loop_
_atom_site_label
_atom_site_type_symbol
_atom_site_fract_x
_atom_site_fract_y
_atom_site_fract_z
Y1 Y 0.000 0.000 0.000
Y2 Y 0.000 0.000 0.190
Y3 Y 0.333 0.667 0.667
Y4 Y 0.333 0.667 0.857
Y5 Y 0.667 0.333 0.333
Y6 Y 0.667 0.333 0.524
Cr1 Cr 0.000 0.000 0.769
Cr2 Cr 0.333 0.667 0.436
Cr3 Cr 0.667 0.333 0.103
Se1 Se 0.000 0.000 0.417
Se2 Se 0.333 0.667 0.084
Se3 Se 0.667 0.333 0.751
# Total DFT energy (no corrections) = -7.1934 eV per atom
# D(E_F) = 4.445 states/eV/f.u.
# Total moment = 0.613 μB per atom

=====

# 3
# ZrCuW2 | the Alexandria database | PBEsol | relaxed
data_ZrCuW2
_cell_length_a 3.235
_cell_length_b 3.235
_cell_length_c 6.134
_cell_angle_alpha 90.00
_cell_angle_beta 90.00
_cell_angle_gamma 90.00
_symmetry_space_group_name_H-M 'P 1'
_symmetry_Int_Tables_number 1
loop_
_symmetry_equiv_pos_as_xyz
'x,y,z'
loop_
_atom_site_label
_atom_site_type_symbol
_atom_site_fract_x
_atom_site_fract_y
_atom_site_fract_z
Zr1 Zr 0.000 0.000 0.000
Cu1 Cu 0.500 0.500 0.259
W1 W 0.000 0.000 0.492
W2 W 0.500 0.500 0.719
# ΔE_f = 0.1279 eV per atom
# D(E_F) = 3.810 states/eV/f.u.
# Total moment = 0.000 μB per atom

=====

# 4
# Na2AuF | the Alexandria database | PBEsol | relaxed
data_Na2AuF
_cell_length_a 6.610
_cell_length_b 6.610
_cell_length_c 7.556
_cell_angle_alpha 90.00
_cell_angle_beta 90.00
_cell_angle_gamma 90.00
_symmetry_space_group_name_H-M 'P 1'
_symmetry_Int_Tables_number 1
loop_
_symmetry_equiv_pos_as_xyz
'x,y,z'
loop_
_atom_site_label
_atom_site_type_symbol
_atom_site_fract_x
_atom_site_fract_y
_atom_site_fract_z
Na1 Na 0.156 0.750 0.125
Na2 Na 0.250 0.156 0.875
Na3 Na 0.250 0.344 0.375
Na4 Na 0.344 0.750 0.625
Na5 Na 0.656 0.250 0.625
Na6 Na 0.750 0.656 0.375
Na7 Na 0.750 0.844 0.875
Na8 Na 0.844 0.250 0.125
Au1 Au 0.000 0.000 0.500
Au2 Au 0.000 0.500 0.750
Au3 Au 0.500 0.000 0.250
Au4 Au 0.500 0.500 0.000
F1 F 0.000 0.000 0.000
F2 F 0.000 0.500 0.250
F3 F 0.500 0.000 0.750
F4 F 0.500 0.500 0.500
# Total DFT energy (no corrections) = -3.4174 eV per atom
# Total moment = 0.000 μB per atom

=====

# 5
# TlHgIO2 | the Alexandria database | PBEsol | relaxed
data_TlHgIO2
_cell_length_a 4.189
_cell_length_b 4.189
_cell_length_c 6.539
_cell_angle_alpha 90.00
_cell_angle_beta 90.00
_cell_angle_gamma 90.00
_symmetry_space_group_name_H-M 'P 1'
_symmetry_Int_Tables_number 1
loop_
_symmetry_equiv_pos_as_xyz
'x,y,z'
loop_
_atom_site_label
_atom_site_type_symbol
_atom_site_fract_x
_atom_site_fract_y
_atom_site_fract_z
Tl1 Tl 0.000 0.000 0.000
Hg1 Hg 0.500 0.500 0.500
I1 I 0.000 0.000 0.500
O1 O 0.000 0.500 0.000
O2 O 0.500 0.000 0.000
# Total DFT energy (no corrections) = -2.9614 eV per atom
# D(E_F) = 2.744 states/eV/f.u.
# Total moment = 0.108 μB per atom

=====

# 6
# AgPt2Au | the Alexandria database | PBEsol | relaxed
data_AgPt2Au
_cell_length_a 2.779
_cell_length_b 4.748
_cell_length_c 4.805
_cell_angle_alpha 90.00
_cell_angle_beta 90.00
_cell_angle_gamma 90.00
_symmetry_space_group_name_H-M 'P 1'
_symmetry_Int_Tables_number 1
loop_
_symmetry_equiv_pos_as_xyz
'x,y,z'
loop_
_atom_site_label
_atom_site_type_symbol
_atom_site_fract_x
_atom_site_fract_y
_atom_site_fract_z
Ag1 Ag 0.000 0.000 0.000
Pt1 Pt 0.000 0.500 0.500
Pt2 Pt 0.500 0.000 0.500
Au1 Au 0.500 0.500 0.000
# ΔE_f = 0.0133 eV per atom
# D(E_F) = 2.107 states/eV/f.u.
# Total moment = 0.000 μB per atom